RbReBr2 | PBE | relaxed

Properties
Fermi-level density of states in states/eV/cell: 2.5
Formation energy from raw total energies in meV/atom: 450
Magnetization in μB per formula unit: 0.00
Symmetry: No. 166

extended XYZ file:
```
4
Lattice="1.693 0.977 10.003 -1.693 0.977 10.003 0.000 -1.954 10.003" Properties=species:S:1:pos:R:3 pbc="T T T"
Rb 0.000 0.000 0.000
Re 0.000 0.000 15.004
Br 0.000 0.000 12.574
Br 0.000 0.000 17.434
```

RbReBr2 | PBE | relaxed

Properties
Fermi-level density of states in states/eV/cell: 0.0
Formation energy from raw total energies in meV/atom: 561
Magnetization in μB per formula unit: 6.00
Symmetry: No. 225

extended XYZ file:
```
4
Lattice="0.000 4.011 4.011 4.011 0.000 4.011 4.011 4.011 0.000" Properties=species:S:1:pos:R:3 pbc="T T T"
Rb 0.000 0.000 0.000
Re 4.011 4.011 4.011
Br 2.006 2.006 2.006
Br 6.017 6.017 6.017
```

Rb2ReBr7 | PBE | relaxed

Properties
Fermi-level density of states in states/eV/cell: 15.7
Formation energy from raw total energies in meV/atom: -755
Magnetization in μB per formula unit: 2.00
Symmetry: No. 139

extended XYZ file:
```
10
Lattice="-4.093 4.093 5.821 4.093 -4.093 5.821 4.093 4.093 -5.821" Properties=species:S:1:pos:R:3 pbc="T T T"
Rb 4.093 0.000 2.911
Rb 0.000 4.093 2.911
Re 0.000 0.000 0.000
Br 0.000 0.000 2.523
Br 1.784 1.784 0.000
Br 2.309 -2.309 5.821
Br 0.000 0.000 5.821
Br -2.309 2.309 5.821
Br 2.309 2.309 5.821
Br 0.000 0.000 9.119
```

RbReBr2 | PBE | relaxed

Properties
Fermi-level density of states in states/eV/cell: 3.3
Formation energy from raw total energies in meV/atom: 434
Magnetization in μB per formula unit: 0.44
Symmetry: No. 166

extended XYZ file:
```
4
Lattice="2.040 1.178 8.901 -2.040 1.178 8.901 0.000 -2.356 8.901" Properties=species:S:1:pos:R:3 pbc="T T T"
Rb 0.000 0.000 0.000
Re 0.000 0.000 13.351
Br 0.000 0.000 3.316
Br 0.000 0.000 23.387
```

RbRe3Br10 | PBE | relaxed

Properties
Formation energy from raw total energies in meV/atom: -551
Magnetization in μB per formula unit: 0.00
Symmetry: No. 12

extended XYZ file:
```
28
Lattice="7.633 -5.486 0.000 7.633 5.486 0.000 -0.682 0.000 10.886" Properties=species:S:1:pos:R:3 pbc="T T T"
Rb 7.633 3.140 0.000
Rb 7.633 -3.140 0.000
Re 4.157 1.230 6.802
Re 3.117 0.000 8.685
Re 4.157 -1.230 6.802
Re 10.427 1.230 4.084
Re 11.467 0.000 2.202
Re 10.427 -1.230 4.084
Br 2.140 1.763 5.387
Br 3.123 2.575 8.736
Br 0.746 0.000 7.928
Br 2.466 0.000 0.220
Br 6.402 1.740 7.643
Br 2.140 -1.763 5.387
Br 5.197 0.000 4.807
Br 5.017 0.000 10.304
Br 8.182 1.740 3.243
Br 3.123 -2.575 8.736
Br 11.461 2.575 2.150
Br 6.402 -1.740 7.643
Br 9.567 0.000 0.583
Br 9.387 0.000 6.079
Br 12.444 1.763 5.499
Br 8.182 -1.740 3.243
Br 12.118 0.000 10.666
Br 13.838 0.000 2.958
Br 11.461 -2.575 2.150
Br 12.444 -1.763 5.499
```

Rb3ReBr8 | PBE | relaxed

Properties
Fermi-level density of states in states/eV/cell: 16.4
Formation energy from raw total energies in meV/atom: -981
Magnetization in μB per formula unit: 1.99
Symmetry: No. 186

extended XYZ file:
```
24
Lattice="10.374 0.000 0.000 -5.187 8.984 0.000 0.000 0.000 9.500" Properties=species:S:1:pos:R:3 pbc="T T T"
Rb 0.000 2.717 0.000
Rb -2.834 7.626 0.000
Rb 2.353 1.358 4.750
Rb 2.834 7.626 0.000
Rb 8.022 1.358 4.750
Rb 5.187 6.268 4.750
Re 0.000 5.990 4.205
Re 5.187 2.995 8.954
Br 0.000 0.000 2.431
Br 0.000 0.000 7.181
Br -1.763 4.972 2.779
Br 0.000 3.943 5.689
Br -1.772 7.013 5.689
Br 0.000 5.990 9.042
Br 3.415 1.972 0.939
Br 1.763 4.972 2.779
Br 0.000 8.026 2.779
Br 5.187 0.959 7.529
Br 3.424 4.013 7.529
Br 1.772 7.013 5.689
Br 5.187 2.995 4.292
Br 6.959 1.972 0.939
Br 5.187 5.041 0.939
Br 6.951 4.013 7.529
```

RbReBr2 | PBE | relaxed

Properties
Fermi-level density of states in states/eV/cell: 4.1
Formation energy from raw total energies in meV/atom: 391
Magnetization in μB per formula unit: 0.00
Symmetry: No. 122

extended XYZ file:
```
8
Lattice="-3.219 3.219 6.744 3.219 -3.219 6.744 3.219 3.219 -6.744" Properties=species:S:1:pos:R:3 pbc="T T T"
Rb 0.000 0.000 0.000
Rb 0.000 3.219 3.372
Re 3.219 0.000 3.372
Re 0.000 0.000 6.744
Br 1.610 -0.831 5.058
Br 2.389 1.610 1.686
Br 1.610 4.050 -1.686
Br 0.831 1.610 8.430
```

RbRe2Br2 | PBE | relaxed

Properties
Fermi-level density of states in states/eV/cell: 9.6
Formation energy from raw total energies in meV/atom: 890
Magnetization in μB per formula unit: 0.00
Symmetry: No. 127

extended XYZ file:
```
10
Lattice="9.368 0.000 0.000 0.000 9.368 0.000 0.000 0.000 3.014" Properties=species:S:1:pos:R:3 pbc="T T T"
Rb 0.000 0.000 0.000
Rb 4.684 4.684 0.000
Re 0.802 3.882 0.000
Re 3.882 8.566 0.000
Re 5.486 0.802 0.000
Re 8.566 5.486 0.000
Br 2.326 7.010 1.507
Br 2.358 2.326 1.507
Br 7.010 7.042 1.507
Br 7.042 2.358 1.507
```